Computed, not measured: Cs2SrErBr6 after structural relaxation at the PBE-GGA level of DFT.

a = 8.251 Å, b = 8.262 Å, c = 11.678 Å
α = 90.00°, β = 90.00°, γ = 90.00°
Space group Immm (No. 71)
Asymmetric unit:
Cs: 0.000 0.000 0.249
Sr: 0.000 0.500 0.000
Er: 0.000 0.500 0.500
Br: 0.000 0.500 0.259
Br: 0.241 0.259 0.500

The calculation puts the density of states at the Fermi level at 0.4754 states/eV/atom. As for the uncorrected formation energy: -1.77 eV/atom. Its calculated volume is 796.16 Å³/cell. The value obtained for the mass density is 4.2 g cm⁻³.

Computed, not measured: AcMg4 after structural relaxation at the PBE-GGA level of DFT.

a = 5.424 Å, b = 10.182 Å, c = 5.752 Å
α = 90.00°, β = 117.60°, γ = 90.00°
Space group C2/m (No. 12)
Asymmetric unit:
Ac: 0.000 0.000 0.000
Mg: 0.151 0.348 0.303

The calculation puts the density of states at the Fermi level at 0.4801 states/eV/atom. Its calculated volume is 281.52 Å³/cell. The value obtained for the mass density is 3.8 g cm⁻³.

Computed, not measured: Nb2Fe3 after structural relaxation at the PBE-GGA level of DFT.

a = 4.914 Å, b = 8.568 Å, c = 6.711 Å
α = 90.00°, β = 90.00°, γ = 90.00°
Space group Cmce (No. 64)
Asymmetric unit:
Nb: 0.000 0.159 0.100
Fe: 0.000 0.000 0.500
Fe: 0.250 0.108 0.750

The calculation puts the density of states at the Fermi level at 1.1125 states/eV/atom. Its calculated volume is 282.57 Å³/cell. The value obtained for the mass density is 8.3 g cm⁻³.

Computed, not measured: PuMgSb2 after structural relaxation at the PBE-GGA level of DFT.

a = 4.872 Å, b = 4.872 Å, c = 4.198 Å
α = 90.00°, β = 90.00°, γ = 90.00°
Space group P4/mmm (No. 123)
Asymmetric unit:
Pu: 0.000 0.000 0.000
Mg: 0.500 0.500 0.000
Sb: 0.000 0.500 0.500

The calculation puts the density of states at the Fermi level at 2.4356 states/eV/atom. As for the uncorrected formation energy: -0.46 eV/atom. Its calculated volume is 99.66 Å³/cell. The value obtained for the mass density is 8.5 g cm⁻³.

E
In order: -71.39; -21.29; -181.86; -26.02
Unit: eV/cell